1.
{"formula": "Ca3YS", "functional": "PBE", "state": "optimized geometry", "lattice": [[5.5543, 0.0000, 0.0000], [0.0000, 5.5543, 0.0000], [0.0000, 0.0000, 5.5543]], "species": ["Ca", "Ca", "Ca", "Y", "S"], "frac_coords": [[0.0000, 0.0000, 0.5000], [0.0000, 0.5000, 0.0000], [0.5000, 0.0000, 0.0000], [0.5000, 0.5000, 0.5000], [0.0000, 0.0000, 0.0000]], "crystal_system": "cubic", "sg": "No. 221"}

=====

2.
{"formula": "Ca3YS", "functional": "PBE", "state": "optimized geometry", "lattice": [[6.0476, 0.0000, 0.0000], [0.0000, 6.0476, 0.0000], [0.0000, 0.0000, 6.0476]], "species": ["Ca", "Ca", "Ca", "Y", "S"], "frac_coords": [[0.0000, 0.0000, 0.5000], [0.0000, 0.5000, 0.0000], [0.5000, 0.0000, 0.0000], [0.0000, 0.0000, 0.0000], [0.5000, 0.5000, 0.5000]], "crystal_system": "cubic", "sg": "No. 221"}

=====

Which one sits at the bottom of the stability order? 2 does.